Density functional theory data (GGA-PBE) for crystalline Sr2CaIrI at its relaxed geometry.

The energy comes out at -3.615 eV per atom. The total moment comes out at 0.00 Bohr magnetons per cell.

It has space group P4/mmm (No. 123), with a = 5.922 Å, b = 5.922 Å, c = 5.516 Å, α = 90.00°, β = 90.00° and γ = 90.00°. The distinct sites, in fractional coordinates, are Sr at (0.000, 0.500, 0.000), Ca at (0.000, 0.000, 0.500), Ir at (0.000, 0.000, 0.000) and I at (0.500, 0.500, 0.500).